PrSi6Pd12: optimized geometry, PBE.

Unit cell a=7.0870 b=7.0870 c=7.0870 alpha=105.28 beta=105.28 gamma=105.28
With the nearest neighbours (Å) after each atom.
Sites, in units of the cell vectors:
Pd 0.5628 0.8265 0.5628  3 Si 2.44-2.52
Pd 0.4372 0.4372 0.1735  3 Si 2.44-2.52
Pd 0.1735 0.4372 0.4372  3 Si 2.44-2.52
Pd 0.5628 0.5628 0.8265  3 Si 2.44-2.52
Pd 0.1251 0.8749 0.5000  4 Si 2.42-2.43
Si 0.7514 0.7514 0.3119  7 Pd 2.42-2.52
Pr 0.0000 0.0000 0.0000  18 Pd 3.41-3.81, 6 Si 3.68
Si 0.3119 0.7514 0.7514  7 Pd 2.42-2.52
Pd 0.8265 0.5628 0.5628  3 Si 2.44-2.52
Si 0.2486 0.2486 0.6881  7 Pd 2.42-2.52
Pd 0.5000 0.8749 0.1251  4 Si 2.42-2.43
Pd 0.1251 0.5000 0.8749  4 Si 2.42-2.43
Si 0.2486 0.6881 0.2486  7 Pd 2.42-2.52
Pd 0.5000 0.1251 0.8749  4 Si 2.42-2.43
Si 0.6881 0.2486 0.2486  7 Pd 2.42-2.52
Si 0.7514 0.3119 0.7514  7 Pd 2.42-2.52
Pd 0.8749 0.5000 0.1251  4 Si 2.42-2.43
Pd 0.8749 0.1251 0.5000  4 Si 2.42-2.43
Pd 0.4372 0.1735 0.4372  3 Si 2.44-2.52

Properties
E_form (uncorrected): -0.6676 eV per atom
space group: R-3m (166)

=====

PrSiPd2: optimized geometry, PBE.

Unit cell a=4.2331 b=4.2331 c=5.7205 alpha=68.28 beta=68.28 gamma=60.00
With the nearest neighbours (Å) after each atom.
Sites, in units of the cell vectors:
Pd 0.7092 0.7092 0.8723  3 Si 2.53, 3 Pd 2.78
Si 0.0000 0.0000 0.0000  6 Pd 2.53
Pr 0.5000 0.5000 0.5000  8 Pd 3.11-3.25
Pd 0.2908 0.2908 0.1277  3 Si 2.53, 3 Pd 2.78

Properties
E_form (uncorrected): -0.7804 eV per atom
space group: R-3m (166)

=====

Pr2Si2Pd3: optimized geometry, PBE.

Unit cell a=3.9877 b=5.7260 c=7.1639 alpha=113.71 beta=90.00 gamma=110.38
With the nearest neighbours (Å) after each atom.
Sites, in units of the cell vectors:
Pr 0.8664 0.7327 0.2293  4 Si 3.05-3.19, 7 Pd 3.16-3.36
Pd 0.6360 0.2720 0.4307  3 Si 2.52-2.55, 1 Pd 2.79
Pd 0.5000 0.0000 0.0000  4 Si 2.64, 2 Pd 2.79
Si 0.1501 0.3001 0.2253  5 Pd 2.52-2.64
Si 0.8499 0.6999 0.7747  5 Pd 2.52-2.64
Pr 0.1336 0.2673 0.7707  4 Si 3.05-3.19, 7 Pd 3.16-3.36
Pd 0.3640 0.7280 0.5693  3 Si 2.52-2.55, 1 Pd 2.79

Properties
E_form (uncorrected): -0.8448 eV per atom
space group: C2/m (12)

=====

Pr2Si3Pd2: optimized geometry, PBE.

Unit cell a=4.3196 b=7.0083 c=9.3612 alpha=90.00 beta=103.34 gamma=90.00
With the nearest neighbours (Å) after each atom.
Sites, in units of the cell vectors:
Si 0.4409 0.9268 0.8817  2 Si 2.39-2.48, 1 Pd 2.59
Si 0.7757 0.2500 0.5513  6 Pd 2.58-2.64
Pr 0.9449 0.2500 0.8898  9 Si 3.08-3.25
Pd 0.6931 0.5487 0.3862  4 Si 2.58-2.64, 1 Pd 2.82
Pd 0.6931 0.9513 0.3862  4 Si 2.58-2.64, 1 Pd 2.82
Si 0.5591 0.0732 0.1183  2 Si 2.39-2.48, 1 Pd 2.59
Si 0.4409 0.5732 0.8817  2 Si 2.39-2.48, 1 Pd 2.59
Si 0.5591 0.4268 0.1183  2 Si 2.39-2.48, 1 Pd 2.59
Pr 0.8452 0.7500 0.6905  6 Si 3.04-3.08, 6 Pd 3.09-3.11
Pd 0.3069 0.4513 0.6138  4 Si 2.58-2.64, 1 Pd 2.82
Pr 0.1548 0.2500 0.3095  6 Si 3.04-3.08, 6 Pd 3.09-3.11
Si 0.2243 0.7500 0.4487  6 Pd 2.58-2.64
Pr 0.0551 0.7500 0.1102  9 Si 3.08-3.25
Pd 0.3069 0.0487 0.6138  4 Si 2.58-2.64, 1 Pd 2.82

Properties
E_form (uncorrected): -0.8533 eV per atom
space group: Cmcm (63)

=====

Pr3SiPd3: optimized geometry, PBE.

Unit cell a=4.2990 b=4.1990 c=9.8112 alpha=102.36 beta=102.66 gamma=90.00
With the nearest neighbours (Å) after each atom.
Sites, in units of the cell vectors:
Pd 0.8607 0.3607 0.7214  2 Si 2.53
Pd 0.5603 0.5603 0.1206  1 Si 2.39
Si 0.4322 0.4322 0.8644  3 Pd 2.39-2.53
Pr 0.3165 0.8165 0.6331  2 Si 3.01, 5 Pd 3.06-3.12
Pd 0.1529 0.6529 0.3057  2 Pd 2.76, 5 Pr 3.05-3.06
Pr 0.9967 0.9967 0.9934  8 Pd 3.23-3.59, 4 Si 3.24
Pr 0.6807 0.1807 0.3615  7 Pd 3.05-3.36

Properties
E_form (uncorrected): -0.7921 eV per atom
space group: Imm2 (44)

=====

Pr3Si6Pd20: optimized geometry, PBE.

Unit cell a=8.7871 b=8.7871 c=8.7871 alpha=60.00 beta=60.00 gamma=60.00
With the nearest neighbours (Å) after each atom.
Sites, in units of the cell vectors:
Pd 0.0000 0.0000 0.6529  2 Si 2.45, 1 Pd 2.69
Pd 0.0000 0.6529 0.0000  2 Si 2.45, 1 Pd 2.69
Si 0.7328 0.2672 0.2672  8 Pd 2.45-2.49
Pr 0.2500 0.2500 0.2500  4 Pd 2.92
Pd 0.3471 0.0000 0.6529  2 Si 2.45, 1 Pd 2.69
Si 0.2672 0.7328 0.7328  8 Pd 2.45-2.49
Si 0.7328 0.7328 0.2672  8 Pd 2.45-2.49
Si 0.7328 0.2672 0.7328  8 Pd 2.45-2.49
Pd 0.3856 0.8433 0.3856  3 Si 2.49
Pd 0.0000 0.0000 0.3471  2 Si 2.45, 1 Pd 2.69
Pd 0.0000 0.6529 0.3471  2 Si 2.45, 1 Pd 2.69
Pd 0.6529 0.0000 0.3471  2 Si 2.45, 1 Pd 2.69
Pd 0.6529 0.3471 0.0000  2 Si 2.45, 1 Pd 2.69
Pd 0.1567 0.6144 0.6144  3 Si 2.49
Pd 0.3471 0.6529 0.0000  2 Si 2.45, 1 Pd 2.69
Si 0.2672 0.7328 0.2672  8 Pd 2.45-2.49
Pd 0.0000 0.3471 0.0000  2 Si 2.45, 1 Pd 2.69
Pd 0.0000 0.3471 0.6529  2 Si 2.45, 1 Pd 2.69
Pd 0.6144 0.1567 0.6144  3 Si 2.49
Pd 0.6529 0.0000 0.0000  2 Si 2.45, 1 Pd 2.69
Pd 0.6144 0.6144 0.6144  3 Si 2.49
Si 0.2672 0.2672 0.7328  8 Pd 2.45-2.49
Pd 0.3471 0.0000 0.0000  2 Si 2.45, 1 Pd 2.69
Pd 0.6144 0.6144 0.1567  3 Si 2.49
Pd 0.3856 0.3856 0.8433  3 Si 2.49
Pd 0.8433 0.3856 0.3856  3 Si 2.49
Pd 0.3856 0.3856 0.3856  3 Si 2.49
Pr 0.0000 0.0000 0.0000  12 Pd 3.05, 6 Si 3.32
Pr 0.7500 0.7500 0.7500  4 Pd 2.92

Properties
E_form (uncorrected): -0.7856 eV per atom
space group: Fm-3m (225)

=====

Pr2Si3Pd: optimized geometry, PBE.

Unit cell a=8.2948 b=8.2948 c=8.6053 alpha=90.00 beta=90.00 gamma=120.00
With the nearest neighbours (Å) after each atom.
Sites, in units of the cell vectors:
Pd 0.3333 0.6667 0.5001  3 Si 2.41
Si 0.6688 0.8344 0.5000  2 Si 2.38, 1 Pd 2.41
Si 0.8344 0.1656 0.0000  2 Si 2.38, 1 Pd 2.41
Si 0.1656 0.8344 0.0000  2 Si 2.38, 1 Pd 2.41
Si 0.3312 0.1656 0.0000  2 Si 2.38, 1 Pd 2.41
Pr 0.9999 0.4999 0.7500  4 Pd 3.22, 8 Si 3.22
Pr 0.5001 0.0001 0.7500  4 Pd 3.22, 8 Si 3.22
Si 0.1656 0.8344 0.5000  2 Si 2.38, 1 Pd 2.41
Si 0.8344 0.6688 0.0000  2 Si 2.38, 1 Pd 2.41
Pr 0.5001 0.4999 0.7500  4 Pd 3.22, 8 Si 3.22
Pd 0.3333 0.6667 0.9999  3 Si 2.41
Si 0.3312 0.1656 0.5000  2 Si 2.38, 1 Pd 2.41
Pd 0.6667 0.3333 0.0001  3 Si 2.41
Pr 0.0000 0.0000 0.2500  12 Si 3.21
Si 0.8344 0.6688 0.5000  2 Si 2.38, 1 Pd 2.41
Pr 0.0001 0.5001 0.2500  4 Pd 3.22, 8 Si 3.22
Si 0.8344 0.1656 0.5000  2 Si 2.38, 1 Pd 2.41
Pr 0.4999 0.9999 0.2500  4 Pd 3.22, 8 Si 3.22
Si 0.6688 0.8344 0.0000  2 Si 2.38, 1 Pd 2.41
Pr 0.0000 0.0000 0.7500  12 Si 3.21
Pd 0.6667 0.3333 0.4999  3 Si 2.41
Pr 0.4999 0.5001 0.2500  4 Pd 3.22, 8 Si 3.22
Si 0.1656 0.3312 0.5000  2 Si 2.38, 1 Pd 2.41
Si 0.1656 0.3312 0.0000  2 Si 2.38, 1 Pd 2.41

Properties
E_form (uncorrected): -0.8934 eV per atom
space group: P6/mmm (191)

=====

PrSiPd3: optimized geometry, PBE.

Unit cell a=5.3241 b=5.3241 c=8.5842 alpha=108.07 beta=108.07 gamma=90.00
With the nearest neighbours (Å) after each atom.
Sites, in units of the cell vectors:
Pd 0.7124 0.7124 0.4247  2 Si 2.72, 2 Pd 2.88
Pd 0.2876 0.2876 0.5753  2 Si 2.72, 2 Pd 2.88
Pd 0.1228 0.8675 0.2456  2 Si 2.33-2.36, 1 Pd 2.61
Pr 0.9027 0.4027 0.8054  6 Pd 3.01-3.20, 2 Si 3.06
Pd 0.1325 0.8772 0.7544  2 Si 2.33-2.36, 1 Pd 2.61
Pr 0.5973 0.0973 0.1946  6 Pd 3.01-3.20, 2 Si 3.06
Pd 0.1228 0.3781 0.2456  2 Si 2.33-2.36, 1 Pd 2.61
Si 0.0000 0.0000 0.0000  4 Pd 2.33
Pd 0.6219 0.8772 0.7544  2 Si 2.33-2.36, 1 Pd 2.61
Si 0.2500 0.7500 0.5000  4 Pd 2.36

Properties
E_form (uncorrected): -0.5368 eV per atom
space group: I-4m2 (119)

=====

Record-wise total magnetization values, in Bohr magnetons per cell: 0.00 0.00 0.00 0.00 0.00 0.00 0.00 0.00
Record-wise calculated total energy values, in eV/atom: -5.911 -5.927 -5.985 -6.027 -5.841 -5.983 -6.064 -5.693
Record-wise density of states at the Fermi level values, in states/eV/cell: 9.4 2.5 3.7 6.3 3.9 9.1 10.0 2.1